1.
The following is a DFT calculation (PBE-GGA) of a geometry-optimized LaCeLu2 structure.

Cell lengths 5.6510, 5.6510, 5.6510 Å; angles 60.00, 60.00, 60.00 degrees
Atoms (fractional coordinates):
1 La 0.0000 0.0000 0.0000
2 Ce 0.5000 0.5000 0.5000
3 Lu 0.2500 0.2500 0.2500
4 Lu 0.7500 0.7500 0.7500

## Properties
mass density	8185	kg/m3
E_form	121	meV per atom
space-group type	No. 225
DOS at the Fermi energy	8.18	states/eV per cell

=====

2.
The following is a DFT calculation (PBE-GGA) of a geometry-optimized Sr3Ca7Hg4 structure.

Cell lengths 10.5687, 10.5687, 13.4127 Å; angles 120.74, 120.74, 23.58 degrees
Atoms (fractional coordinates):
1 Sr 0.0000 0.0000 0.0000
2 Sr 0.3032 0.3032 0.3062
3 Sr 0.6968 0.6968 0.6938
4 Ca 0.0000 0.0000 0.5000
5 Ca 0.1635 0.1635 0.4144
6 Ca 0.3180 0.3180 0.9795
7 Ca 0.4967 0.4967 0.2597
8 Ca 0.5033 0.5033 0.7403
9 Ca 0.6820 0.6820 0.0205
10 Ca 0.8365 0.8365 0.5856
11 Hg 0.1302 0.1302 0.8120
12 Hg 0.3571 0.3571 0.7761
13 Hg 0.6429 0.6429 0.2239
14 Hg 0.8698 0.8698 0.1880

## Properties
mass density	4371	kg/m3
E_form	-315	meV per atom
space-group type	No. 12
DOS at the Fermi energy	13.53	states/eV per cell

=====

3.
The following is a DFT calculation (PBE-GGA) of a geometry-optimized Y6Si2Te3P structure.

Cell lengths 9.5444, 9.5444, 8.5827 Å; angles 104.65, 104.65, 25.39 degrees
Atoms (fractional coordinates):
1 Y 0.0081 0.0081 0.2298
2 Y 0.3267 0.3267 0.4349
3 Y 0.3412 0.3412 0.8992
4 Y 0.6588 0.6588 0.1008
5 Y 0.6733 0.6733 0.5651
6 Y 0.9919 0.9919 0.7702
7 Si 0.1661 0.1661 0.3315
8 Si 0.8339 0.8339 0.6685
9 Te 0.1659 0.1659 0.8338
10 Te 0.5000 0.5000 0.5000
11 Te 0.8341 0.8341 0.1662
12 P 0.5000 0.5000 0.0000

## Properties
mass density	5146	kg/m3
E_form (uncorrected)	-1285	meV per atom
space-group type	No. 12
DOS at the Fermi energy	2.60	states/eV per cell

=====

4.
The following is a DFT calculation (PBE-GGA) of a geometry-optimized KAg2Au structure.

Cell lengths 4.9339, 4.9339, 7.0304 Å; angles 95.57, 95.57, 35.42 degrees
Atoms (fractional coordinates):
1 K 0.0000 0.0000 0.0000
2 Ag 0.5045 0.5045 0.5059
3 Ag 0.7664 0.7664 0.3366
4 Au 0.2416 0.2416 0.6890

## Properties
mass density	7604	kg/m3
E_form	66	meV per atom
space-group type	No. 8
DOS at the Fermi energy	2.03	states/eV per cell